1 | A relaxed structure of SmDyY4. Source: the Alexandria database, functional PBE-GGA.

```
SmDyY4
1.0
-2.248 -2.659 -2.938
2.085 -3.667 1.721
-8.178 -1.203 7.345
Sm Dy Y
1 1 4
Direct
0.000 0.000 0.000
0.500 0.500 0.500
0.000 0.500 0.252
0.000 0.500 0.748
0.500 0.000 0.748
0.500 0.000 0.252
```


2 | A relaxed structure of SmDyY4. Source: the Alexandria database, functional PBE-GGA.

```
SmDyY4
1.0
-1.494 -2.093 5.668
1.720 -5.717 1.758
9.831 6.872 1.713
Sm Dy Y
2 2 8
Direct
0.083 0.917 0.250
0.917 0.083 0.750
0.500 0.000 0.500
0.000 0.500 0.000
0.251 0.415 0.750
0.167 0.667 0.500
0.833 0.333 0.500
0.415 0.251 0.250
0.585 0.749 0.750
0.333 0.833 0.000
0.667 0.167 0.000
0.749 0.585 0.250
```


Short version: 1 is the least stable of them.